(1)
Entry from the Alexandria database: an optimized crystal structure of Pr4Y3Er (PBE).

Values from the calculation:
- E above lowest polymorph (eV per atom) = 0.137
- SG = No. 12
- uncorrected energy (eV per atom) = -5.221
- formation energy (eV/atom) = 0.163
- Fermi-level density of states (states/eV/f.u.) = 14.0

a = 12.0496 Å, b = 12.0496 Å, c = 6.8774 Å
α = 106.19°, β = 106.19°, γ = 16.75°
Positions (direct):
Pr1 0.1231 0.1231 0.3684
Pr2 0.2593 0.2593 0.7638
Pr3 0.7407 0.7407 0.2362
Pr4 0.8769 0.8769 0.6316
Y1 0.0000 0.0000 0.5000
Y2 0.1218 0.1218 0.8817
Y3 0.8782 0.8782 0.1183
Er1 0.5000 0.5000 0.0000



(2)
Entry from the Alexandria database: an optimized crystal structure of LiVZn (PBE).

Values from the calculation:
- E above lowest polymorph (eV per atom) = 0.326
- SG = No. 194
- uncorrected energy (eV per atom) = -3.769
- formation energy (eV/atom) = 0.333
- Fermi-level density of states (states/eV/f.u.) = 2.0

a = 4.3589 Å, b = 4.3589 Å, c = 5.1632 Å
α = 90.00°, β = 90.00°, γ = 120.00°
Positions (direct):
Li1 0.0000 0.0000 0.0000
Li2 0.0000 0.0000 0.5000
V1 0.3333 0.6667 0.2500
V2 0.6667 0.3333 0.7500
Zn1 0.3333 0.6667 0.7500
Zn2 0.6667 0.3333 0.2500



(3)
Entry from the Alexandria database: an optimized crystal structure of Cr2MoOs2 (PBE).

Values from the calculation:
- E above lowest polymorph (eV per atom) = 0.027
- SG = No. 127
- uncorrected energy (eV per atom) = -10.294
- formation energy (eV/atom) = 0.213
- Fermi-level density of states (states/eV/f.u.) = 5.6

a = 7.2277 Å, b = 7.2277 Å, c = 2.7054 Å
α = 90.00°, β = 90.00°, γ = 90.00°
Positions (direct):
Cr1 0.1671 0.3329 0.0000
Cr2 0.3329 0.8329 0.0000
Cr3 0.6671 0.1671 0.0000
Cr4 0.8329 0.6671 0.0000
Mo1 0.0000 0.0000 0.5000
Mo2 0.5000 0.5000 0.5000
Os1 0.1310 0.6310 0.5000
Os2 0.3690 0.1310 0.5000
Os3 0.6310 0.8690 0.5000
Os4 0.8690 0.3690 0.5000